(1)
Below is a relaxed structure of Ce5Mg, with properties calculated at the PBEsol level.

## Properties
As for the total magnetization: 1.5 μB/f.u. As for the volume: 163 Å³/f.u.

Lattice parameters (Å, degrees): 3.8989 3.8989 12.4036 90.00 90.00 120.00
Space group P-6m2 (No. 187)
Asymmetric unit:
Ce 0.0000 0.0000 0.0000 x1
Ce 0.0000 0.0000 0.3003 x2
Ce 0.3333 0.6667 0.1860 x2
Mg 0.3333 0.6667 0.5000 x1

---

(2)
Below is a relaxed structure of Ce5Mg, with properties calculated at the PBEsol level.

## Properties
As for the total magnetization: 0.0 μB/f.u. As for the volume: 145 Å³/f.u.

Lattice parameters (Å, degrees): 5.6057 5.6057 5.3155 90.00 90.00 120.00
Space group P-62m (No. 189)
Asymmetric unit:
Ce 0.0000 0.3573 0.0000 x3
Ce 0.3333 0.6667 0.5000 x2
Mg 0.0000 0.0000 0.5000 x1

---

Going by the energies, (2) is most stable and the next is 0.163 eV/atom up.

---

(1)
Below is a relaxed structure of Ce2Nd2O7, with properties calculated at the PBEsol level.

## Properties
As for the total magnetization: 0.0 μB/f.u. As for the volume: 166 Å³/f.u.

Lattice parameters (Å, degrees): 10.9830 10.9830 10.9830 90.00 90.00 90.00
Space group Fd-3m (No. 227, origin choice 2)
Asymmetric unit:
Ce 0.0000 0.0000 0.0000 x16
Nd 0.0000 0.0000 0.5000 x16
O 0.0985 0.3750 0.3750 x48
O 0.1250 0.1250 0.6250 x8

---

(2)
Below is a relaxed structure of Ce2Nd2O7, with properties calculated at the PBEsol level.

## Properties
As for the total magnetization: 0.0 μB/f.u. As for the volume: 163 Å³/f.u.

Lattice parameters (Å, degrees): 7.8269 3.7742 11.0653 90.00 90.00 90.00
Space group Pmma (No. 51)
Asymmetric unit:
Ce 0.0000 0.0000 0.0000 x2
Ce 0.2500 0.5000 0.2494 x2
Nd 0.0000 0.0000 0.5000 x2
Nd 0.2500 0.5000 0.7726 x2
O 0.0153 0.5000 0.1190 x4
O 0.0367 0.5000 0.6288 x4
O 0.2500 0.0000 0.1329 x2
O 0.2500 0.0000 0.3814 x2
O 0.2500 0.0000 0.8836 x2

---

Going by the energies, (1) is most stable and the next is 0.018 eV/atom up.